## Zr2MnW (PBEsol)

Data for a relaxed Zr2MnW crystal.

E in eV per atom: -10.30
Calculated volume in Å³ per atom: 16.84
Magnetization in μB/atom: 0.0572

abc: 3.2057 3.2057 6.5565
angles: 90.00 90.00 90.00
With the nearest neighbours (Å) after each atom.
Atoms (fractional coordinates):
Zr: 0.0000 0.0000 0.2356  4 Mn 2.74, 4 W 2.85
Zr: 0.0000 0.0000 0.7644  4 Mn 2.74, 4 W 2.85
Mn: 0.5000 0.5000 0.0000  8 Zr 2.74
W: 0.5000 0.5000 0.5000  8 Zr 2.85



## CdAgAu2 (PBEsol)

Data for a relaxed CdAgAu2 crystal.

E in eV per atom: -3.15
Calculated volume in Å³ per atom: 17.44
Magnetization in μB/atom: 0.0000

abc: 9.4954 9.4954 9.4954
angles: 17.79 17.79 17.79
With the nearest neighbours (Å) after each atom.
Atoms (fractional coordinates):
Cd: 0.0000 0.0000 0.0000  6 Au 2.92, 6 Cd 2.94
Ag: 0.5000 0.5000 0.5000  6 Au 2.85, 6 Ag 2.94
Au: 0.2484 0.2484 0.2484  3 Ag 2.85, 3 Cd 2.92, 6 Au 2.94
Au: 0.7516 0.7516 0.7516  3 Ag 2.85, 3 Cd 2.92, 6 Au 2.94



## Fe5Co (PBEsol)

Data for a relaxed Fe5Co crystal.

E in eV per atom: -8.74
Calculated volume in Å³ per atom: 10.90
Magnetization in μB/atom: 2.2357

abc: 6.2618 6.2618 2.7838
angles: 90.00 90.00 143.20
With the nearest neighbours (Å) after each atom.
Atoms (fractional coordinates):
Fe: 0.0000 0.0000 0.0000  4 Co 2.42, 4 Fe 2.42
Fe: 0.1664 0.8336 0.5000  8 Fe 2.42-2.43
Fe: 0.3335 0.6665 0.0000  6 Fe 2.42-2.43, 2 Co 2.42
Fe: 0.6665 0.3335 0.0000  6 Fe 2.42-2.43, 2 Co 2.42
Fe: 0.8336 0.1664 0.5000  8 Fe 2.42-2.43
Co: 0.5000 0.5000 0.5000  8 Fe 2.42